A plane-wave DFT calculation with PBE+U was carried out for Mo2PF after structural relaxation.

Output
Space group: Fm-3m
Final energy, eV for the cell shown: -21.37

Cell: 4.559 4.559 4.559 Å, 60.00 60.00 60.00°
Site moments in Bohr magnetons follow the coordinates.
Sites, in units of the cell vectors:
1 P 0.500 0.500 0.500  -0.31
2 F 0.000 0.000 0.000  0.12
3 Mo 0.250 0.250 0.250  3.67
4 Mo 0.750 0.750 0.750  3.67

=====

A plane-wave DFT calculation with PBE+U was carried out for FeBi2F after structural relaxation.

Output
Space group: I-42d
Final energy, eV for the cell shown: -31.49

Cell: 4.573 4.573 10.159 Å, 76.99 76.99 90.00°
Site moments in Bohr magnetons follow the coordinates.
Sites, in units of the cell vectors:
1 Fe 0.750 0.250 0.500  3.58
2 Bi 0.375 0.369 0.750  -0.17
3 Bi 0.119 0.625 0.250  -0.16
4 F 0.500 0.500 0.000  -0.04
5 Bi 0.875 0.881 0.750  -0.17
6 F 0.250 0.750 0.500  -0.04
7 Fe 0.000 0.000 0.000  3.58
8 Bi 0.631 0.125 0.250  -0.16

=====

Number 1: DOS at the Fermi energy 0.88 states/eV/cell, calculated density 5.99 g/cm³. Number 2: DOS at the Fermi energy 4.48 states/eV/cell, calculated density 8.13 g/cm³.